# 1
# ZnRu2Pt (SCAN, PBEsol geometry)
# SG	No. 12
# size of the total moment	2.0	μB per formula unit
# crystal system	monoclinic
# formation energy	0.6	eV/f.u.
# VASP energy	-38.19	eV per atom
data_ZnRu2Pt
_chemical_formula_sum 'Zn2 Ru4 Pt2'
_cell_length_a 5.161
_cell_length_b 9.205
_cell_length_c 2.664
_cell_angle_alpha 90.00
_cell_angle_beta 117.79
_cell_angle_gamma 90.00
_space_group_name_H-M_alt 'P 1'
_space_group_IT_number 1
loop_
_space_group_symop_operation_xyz
'x,y,z'
loop_
_atom_site_label
_atom_site_type_symbol
_atom_site_fract_x
_atom_site_fract_y
_atom_site_fract_z
Zn1 Zn 0.000 0.000 0.000
Zn2 Zn 0.500 0.500 0.000
Ru1 Ru 0.250 0.250 0.500
Ru2 Ru 0.250 0.750 0.500
Ru3 Ru 0.750 0.250 0.500
Ru4 Ru 0.750 0.750 0.500
Pt1 Pt 0.000 0.500 0.000
Pt2 Pt 0.500 0.000 0.000

=====

# 2
# ZnRuPt2 (SCAN, PBEsol geometry)
# SG	No. 123
# size of the total moment	0.0	μB per formula unit
# crystal system	tetragonal
# formation energy	-0.5	eV/f.u.
# VASP energy	-47.31	eV per atom
data_ZnRuPt2
_chemical_formula_sum 'Zn1 Ru1 Pt2'
_cell_length_a 3.797
_cell_length_b 3.797
_cell_length_c 3.921
_cell_angle_alpha 90.00
_cell_angle_beta 90.00
_cell_angle_gamma 90.00
_space_group_name_H-M_alt 'P 1'
_space_group_IT_number 1
loop_
_space_group_symop_operation_xyz
'x,y,z'
loop_
_atom_site_label
_atom_site_type_symbol
_atom_site_fract_x
_atom_site_fract_y
_atom_site_fract_z
Zn1 Zn 0.000 0.000 0.000
Ru1 Ru 0.500 0.500 0.000
Pt1 Pt 0.000 0.500 0.500
Pt2 Pt 0.500 0.000 0.500

=====

# 3
# ZnRuPt2 (SCAN, PBEsol geometry)
# SG	No. 216
# size of the total moment	1.8	μB per formula unit
# crystal system	cubic
# formation energy	-0.1	eV/f.u.
# VASP energy	-47.21	eV per atom
data_ZnRuPt2
_chemical_formula_sum 'Zn4 Ru4 Pt8'
_cell_length_a 6.125
_cell_length_b 6.125
_cell_length_c 6.125
_cell_angle_alpha 90.00
_cell_angle_beta 90.00
_cell_angle_gamma 90.00
_space_group_name_H-M_alt 'P 1'
_space_group_IT_number 1
loop_
_space_group_symop_operation_xyz
'x,y,z'
loop_
_atom_site_label
_atom_site_type_symbol
_atom_site_fract_x
_atom_site_fract_y
_atom_site_fract_z
Zn1 Zn 0.000 0.000 0.000
Zn2 Zn 0.000 0.500 0.500
Zn3 Zn 0.500 0.000 0.500
Zn4 Zn 0.500 0.500 0.000
Ru1 Ru 0.250 0.250 0.750
Ru2 Ru 0.250 0.750 0.250
Ru3 Ru 0.750 0.250 0.250
Ru4 Ru 0.750 0.750 0.750
Pt1 Pt 0.000 0.000 0.500
Pt2 Pt 0.000 0.500 0.000
Pt3 Pt 0.250 0.250 0.250
Pt4 Pt 0.250 0.750 0.750
Pt5 Pt 0.500 0.000 0.000
Pt6 Pt 0.500 0.500 0.500
Pt7 Pt 0.750 0.250 0.750
Pt8 Pt 0.750 0.750 0.250

=====

# 4
# Zn2RuPt (SCAN, PBEsol geometry)
# SG	No. 216
# size of the total moment	1.7	μB per formula unit
# crystal system	cubic
# formation energy	-0.1	eV/f.u.
# VASP energy	-33.04	eV per atom
data_Zn2RuPt
_chemical_formula_sum 'Zn8 Ru4 Pt4'
_cell_length_a 6.069
_cell_length_b 6.069
_cell_length_c 6.069
_cell_angle_alpha 90.00
_cell_angle_beta 90.00
_cell_angle_gamma 90.00
_space_group_name_H-M_alt 'P 1'
_space_group_IT_number 1
loop_
_space_group_symop_operation_xyz
'x,y,z'
loop_
_atom_site_label
_atom_site_type_symbol
_atom_site_fract_x
_atom_site_fract_y
_atom_site_fract_z
Zn1 Zn 0.000 0.000 0.000
Zn2 Zn 0.000 0.500 0.500
Zn3 Zn 0.250 0.250 0.250
Zn4 Zn 0.250 0.750 0.750
Zn5 Zn 0.500 0.000 0.500
Zn6 Zn 0.500 0.500 0.000
Zn7 Zn 0.750 0.250 0.750
Zn8 Zn 0.750 0.750 0.250
Ru1 Ru 0.000 0.000 0.500
Ru2 Ru 0.000 0.500 0.000
Ru3 Ru 0.500 0.000 0.000
Ru4 Ru 0.500 0.500 0.500
Pt1 Pt 0.250 0.250 0.750
Pt2 Pt 0.250 0.750 0.250
Pt3 Pt 0.750 0.250 0.250
Pt4 Pt 0.750 0.750 0.750

=====

# 5
# Zn2RuPt (SCAN, PBEsol geometry)
# SG	No. 12
# size of the total moment	0.4	μB per formula unit
# crystal system	monoclinic
# formation energy	-0.8	eV/f.u.
# VASP energy	-33.22	eV per atom
data_Zn2RuPt
_chemical_formula_sum 'Zn4 Ru2 Pt2'
_cell_length_a 8.512
_cell_length_b 2.702
_cell_length_c 4.856
_cell_angle_alpha 90.00
_cell_angle_beta 99.77
_cell_angle_gamma 90.00
_space_group_name_H-M_alt 'P 1'
_space_group_IT_number 1
loop_
_space_group_symop_operation_xyz
'x,y,z'
loop_
_atom_site_label
_atom_site_type_symbol
_atom_site_fract_x
_atom_site_fract_y
_atom_site_fract_z
Zn1 Zn 0.249 0.000 0.245
Zn2 Zn 0.251 0.500 0.755
Zn3 Zn 0.749 0.500 0.245
Zn4 Zn 0.751 0.000 0.755
Ru1 Ru 0.000 0.500 0.000
Ru2 Ru 0.500 0.000 0.000
Pt1 Pt 0.000 0.000 0.500
Pt2 Pt 0.500 0.500 0.500

=====

# 6
# ZrRuPt2 (SCAN, PBEsol geometry)
# SG	No. 225
# size of the total moment	0.0	μB per formula unit
# crystal system	cubic
# formation energy	-1.7	eV/f.u.
# VASP energy	-51.90	eV per atom
data_ZrRuPt2
_chemical_formula_sum 'Zr4 Ru4 Pt8'
_cell_length_a 6.374
_cell_length_b 6.374
_cell_length_c 6.374
_cell_angle_alpha 90.00
_cell_angle_beta 90.00
_cell_angle_gamma 90.00
_space_group_name_H-M_alt 'P 1'
_space_group_IT_number 1
loop_
_space_group_symop_operation_xyz
'x,y,z'
loop_
_atom_site_label
_atom_site_type_symbol
_atom_site_fract_x
_atom_site_fract_y
_atom_site_fract_z
Zr1 Zr 0.000 0.000 0.000
Zr2 Zr 0.000 0.500 0.500
Zr3 Zr 0.500 0.000 0.500
Zr4 Zr 0.500 0.500 0.000
Ru1 Ru 0.000 0.000 0.500
Ru2 Ru 0.000 0.500 0.000
Ru3 Ru 0.500 0.000 0.000
Ru4 Ru 0.500 0.500 0.500
Pt1 Pt 0.250 0.250 0.250
Pt2 Pt 0.250 0.250 0.750
Pt3 Pt 0.250 0.750 0.250
Pt4 Pt 0.250 0.750 0.750
Pt5 Pt 0.750 0.250 0.250
Pt6 Pt 0.750 0.250 0.750
Pt7 Pt 0.750 0.750 0.250
Pt8 Pt 0.750 0.750 0.750